Record 1
LiMg2H6Ir: relaxed, PBE.

```
data_LiMg2H6Ir
_cell_length_a 5.499
_cell_length_b 4.534
_cell_length_c 4.534
_cell_angle_alpha 120.00
_cell_angle_beta 90.00
_cell_angle_gamma 90.00
_symmetry_space_group_name_H-M 'P 1'
_symmetry_Int_Tables_number 1
_symmetry_space_group_name_Hall 'P 1'
loop_
_atom_site_label
_atom_site_fract_x
_atom_site_fract_y
_atom_site_fract_z
Mg1 0.214 0.333 0.667
H1 0.807 0.664 0.832
Li1 0.500 0.000 0.000
H2 0.193 0.832 0.168
H3 0.193 0.336 0.168
Ir1 0.000 0.000 0.000
Mg2 0.786 0.667 0.333
H4 0.807 0.168 0.336
H5 0.193 0.832 0.664
H6 0.807 0.168 0.832
```

Output
E in eV/atom: -3.632
Mass density in Mg/m³: 4.31
Density of states at the Fermi level in states/eV/cell: 1.28



Record 2
Ca2Mg6In3: relaxed, PBE.

```
data_Ca2Mg6In3
_cell_length_a 4.679
_cell_length_b 8.597
_cell_length_c 8.597
_cell_angle_alpha 120.00
_cell_angle_beta 90.00
_cell_angle_gamma 90.00
_symmetry_space_group_name_H-M 'P 1'
_symmetry_Int_Tables_number 1
_symmetry_space_group_name_Hall 'P 1'
loop_
_atom_site_label
_atom_site_fract_x
_atom_site_fract_y
_atom_site_fract_z
Mg1 0.500 0.000 0.264
Mg2 0.500 0.264 0.000
Mg3 0.000 0.796 0.000
Mg4 0.000 0.000 0.796
Ca1 0.000 0.333 0.667
Mg5 0.500 0.736 0.736
In1 0.500 0.598 0.000
In2 0.500 0.402 0.402
Mg6 0.000 0.204 0.204
Ca2 0.000 0.667 0.333
In3 0.500 0.000 0.598
```

Output
E in eV/atom: -2.119
Mass density in Mg/m³: 3.16
Density of states at the Fermi level in states/eV/cell: 5.08



Record 3
Ba4TlI10: relaxed, PBE.

```
data_Ba4TlI10
_cell_length_a 5.913
_cell_length_b 5.913
_cell_length_c 24.280
_cell_angle_alpha 83.01
_cell_angle_beta 83.01
_cell_angle_gamma 60.00
_symmetry_space_group_name_H-M 'P 1'
_symmetry_Int_Tables_number 1
_symmetry_space_group_name_Hall 'P 1'
loop_
_atom_site_label
_atom_site_fract_x
_atom_site_fract_y
_atom_site_fract_z
I1 0.349 0.349 0.953
I2 0.050 0.050 0.849
I3 0.651 0.651 0.047
I4 0.550 0.550 0.349
I5 0.250 0.250 0.249
I6 0.450 0.450 0.651
Ba1 0.800 0.800 0.601
Ba2 0.399 0.399 0.803
Ba3 0.601 0.601 0.197
I7 0.950 0.950 0.151
I8 0.850 0.850 0.450
Tl1 0.000 0.000 0.000
Ba4 0.200 0.200 0.399
I9 0.750 0.750 0.751
I10 0.150 0.150 0.550
```

Output
E in eV/atom: -3.168
Mass density in Mg/m³: 4.61
Density of states at the Fermi level in states/eV/cell: 14.81



Record 4
La5Pm6Pr: relaxed, PBE.

```
data_La5Pm6Pr
_cell_length_a 12.170
_cell_length_b 6.411
_cell_length_c 6.423
_cell_angle_alpha 60.06
_cell_angle_beta 84.91
_cell_angle_gamma 79.76
_symmetry_space_group_name_H-M 'P 1'
_symmetry_Int_Tables_number 1
_symmetry_space_group_name_Hall 'P 1'
loop_
_atom_site_label
_atom_site_fract_x
_atom_site_fract_y
_atom_site_fract_z
La1 0.000 0.333 0.334
La2 0.500 0.166 0.667
Pm1 0.250 0.584 0.333
Pm2 0.750 0.750 0.000
La3 0.000 0.667 0.666
Pm3 0.750 0.083 0.333
Pm4 0.750 0.416 0.667
Pm5 0.250 0.250 0.000
Pm6 0.250 0.917 0.667
Pr1 0.000 0.000 0.000
La4 0.500 0.834 0.333
La5 0.500 0.500 0.000
```

Output
E in eV/atom: -4.816
Mass density in Mg/m³: 6.63
Density of states at the Fermi level in states/eV/cell: 19.37



Record 5
EuTiNi4: relaxed, PBE.

```
data_EuTiNi4
_cell_length_a 4.946
_cell_length_b 4.946
_cell_length_c 4.946
_cell_angle_alpha 60.00
_cell_angle_beta 60.00
_cell_angle_gamma 60.00
_symmetry_space_group_name_H-M 'P 1'
_symmetry_Int_Tables_number 1
_symmetry_space_group_name_Hall 'P 1'
loop_
_atom_site_label
_atom_site_fract_x
_atom_site_fract_y
_atom_site_fract_z
Eu1 0.250 0.250 0.250
Ni1 0.626 0.123 0.626
Ni2 0.626 0.626 0.626
Ni3 0.123 0.626 0.626
Ti1 0.000 0.000 0.000
Ni4 0.626 0.626 0.123
```

Output
E in eV/atom: -7.042
Mass density in Mg/m³: 8.43
Density of states at the Fermi level in states/eV/cell: 4.89



Record 6
Pr2Dy5TmSc: relaxed, PBE.

```
data_Pr2Dy5TmSc
_cell_length_a 5.540
_cell_length_b 10.462
_cell_length_c 10.360
_cell_angle_alpha 90.00
_cell_angle_beta 90.00
_cell_angle_gamma 105.35
_symmetry_space_group_name_H-M 'P 1'
_symmetry_Int_Tables_number 1
_symmetry_space_group_name_Hall 'P 1'
loop_
_atom_site_label
_atom_site_fract_x
_atom_site_fract_y
_atom_site_fract_z
Pr1 0.887 0.773 0.813
Pr2 0.116 0.231 0.736
Sc1 0.805 0.610 0.515
Sc2 0.195 0.390 0.015
Dy1 0.015 0.030 0.016
Dy2 0.373 0.746 0.019
Dy3 0.298 0.596 0.701
Dy4 0.985 0.970 0.516
Dy5 0.274 0.548 0.321
Pr3 0.884 0.769 0.236
Dy6 0.516 0.032 0.242
Dy7 0.702 0.404 0.201
Tm1 0.406 0.812 0.461
Dy8 0.627 0.254 0.519
Tm2 0.594 0.188 0.961
Dy9 0.726 0.452 0.821
Pr4 0.113 0.227 0.313
Dy10 0.484 0.968 0.742
```

Output
E in eV/atom: -4.669
Mass density in Mg/m³: 7.50
Density of states at the Fermi level in states/eV/cell: 25.25



Record 7
Al3Ga2W: relaxed, PBE.

```
data_Al3Ga2W
_cell_length_a 5.193
_cell_length_b 5.193
_cell_length_c 8.836
_cell_angle_alpha 90.00
_cell_angle_beta 90.00
_cell_angle_gamma 120.00
_symmetry_space_group_name_H-M 'P 1'
_symmetry_Int_Tables_number 1
_symmetry_space_group_name_Hall 'P 1'
loop_
_atom_site_label
_atom_site_fract_x
_atom_site_fract_y
_atom_site_fract_z
Al1 0.331 0.165 0.750
Ga1 0.333 0.667 0.964
Al2 0.165 0.835 0.250
Ga2 0.333 0.667 0.536
Al3 0.835 0.669 0.750
Ga3 0.667 0.333 0.464
Al4 0.669 0.835 0.250
W1 0.000 0.000 0.000
Al5 0.165 0.331 0.250
Al6 0.835 0.165 0.750
Ga4 0.667 0.333 0.036
W2 0.000 0.000 0.500
```

Output
E in eV/atom: -4.858
Mass density in Mg/m³: 6.51
Density of states at the Fermi level in states/eV/cell: 3.84



Record 8
Be2VAg2: relaxed, PBE.

```
data_Be2VAg2
_cell_length_a 6.864
_cell_length_b 6.864
_cell_length_c 2.850
_cell_angle_alpha 90.00
_cell_angle_beta 90.00
_cell_angle_gamma 90.00
_symmetry_space_group_name_H-M 'P 1'
_symmetry_Int_Tables_number 1
_symmetry_space_group_name_Hall 'P 1'
loop_
_atom_site_label
_atom_site_fract_x
_atom_site_fract_y
_atom_site_fract_z
Be1 0.624 0.124 0.000
Ag1 0.172 0.672 0.500
V1 0.500 0.500 0.000
Be2 0.876 0.624 0.000
V2 0.000 0.000 0.000
Be3 0.124 0.376 0.000
Ag2 0.328 0.172 0.500
Ag3 0.828 0.328 0.500
Be4 0.376 0.876 0.000
Ag4 0.672 0.828 0.500
```

Output
E in eV/atom: -4.150
Mass density in Mg/m³: 7.04
Relative energy among the computed polymorphs in meV per atom: 0
Density of states at the Fermi level in states/eV/cell: 5.61



Record 9
Ac2NiAg3: relaxed, PBE.

```
data_Ac2NiAg3
_cell_length_a 6.300
_cell_length_b 6.300
_cell_length_c 8.991
_cell_angle_alpha 107.43
_cell_angle_beta 107.43
_cell_angle_gamma 98.34
_symmetry_space_group_name_H-M 'P 1'
_symmetry_Int_Tables_number 1
_symmetry_space_group_name_Hall 'P 1'
loop_
_atom_site_label
_atom_site_fract_x
_atom_site_fract_y
_atom_site_fract_z
Ac1 0.750 0.250 0.500
Ag1 0.826 0.826 0.652
Ni1 0.339 0.339 0.679
Ac2 0.744 0.744 0.000
Ag2 0.832 0.341 0.173
Ni2 0.661 0.661 0.321
Ag3 0.168 0.659 0.827
Ac3 0.256 0.256 0.000
Ag4 0.174 0.174 0.348
Ag5 0.659 0.168 0.827
Ag6 0.341 0.832 0.173
Ac4 0.250 0.750 0.500
```

Output
E in eV/atom: -3.999
Mass density in Mg/m³: 8.85
Density of states at the Fermi level in states/eV/cell: 9.16



Record 10
PmUC2: relaxed, PBE.

```
data_PmUC2
_cell_length_a 3.623
_cell_length_b 3.623
_cell_length_c 6.203
_cell_angle_alpha 73.02
_cell_angle_beta 73.02
_cell_angle_gamma 60.00
_symmetry_space_group_name_H-M 'P 1'
_symmetry_Int_Tables_number 1
_symmetry_space_group_name_Hall 'P 1'
loop_
_atom_site_label
_atom_site_fract_x
_atom_site_fract_y
_atom_site_fract_z
C1 0.732 0.732 0.803
C2 0.268 0.268 0.197
U1 0.000 0.000 0.000
Pm1 0.500 0.500 0.500
```

Output
E in eV/atom: -8.804
Mass density in Mg/m³: 10.18
Relative energy among the computed polymorphs in meV per atom: 0
Density of states at the Fermi level in states/eV/cell: 2.77



Record 11
DyThSc: relaxed, PBE.

```
data_DyThSc
_cell_length_a 3.511
_cell_length_b 3.511
_cell_length_c 7.598
_cell_angle_alpha 103.36
_cell_angle_beta 103.36
_cell_angle_gamma 90.00
_symmetry_space_group_name_H-M 'P 1'
_symmetry_Int_Tables_number 1
_symmetry_space_group_name_Hall 'P 1'
loop_
_atom_site_label
_atom_site_fract_x
_atom_site_fract_y
_atom_site_fract_z
Th1 0.329 0.329 0.658
Sc1 0.672 0.672 0.343
Dy1 0.999 0.999 0.998
```

Output
E in eV/atom: -6.077
Mass density in Mg/m³: 8.24
Relative energy among the computed polymorphs in meV per atom: 0
Density of states at the Fermi level in states/eV/cell: 4.54



Record 12
YSiMo2: relaxed, PBE.

```
data_YSiMo2
_cell_length_a 4.229
_cell_length_b 3.387
_cell_length_c 5.452
_cell_angle_alpha 74.71
_cell_angle_beta 90.00
_cell_angle_gamma 90.00
_symmetry_space_group_name_H-M 'P 1'
_symmetry_Int_Tables_number 1
_symmetry_space_group_name_Hall 'P 1'
loop_
_atom_site_label
_atom_site_fract_x
_atom_site_fract_y
_atom_site_fract_z
Si1 0.000 0.335 0.492
Mo1 0.500 0.414 0.205
Y1 0.500 0.754 0.682
Mo2 0.000 0.997 0.120
```

Output
E in eV/atom: -8.433
Mass density in Mg/m³: 6.81
Density of states at the Fermi level in states/eV/cell: 2.59